--- one ---
{
  "formula": "HoHfTh2",
  "functional": "PBE",
  "state": "relaxed",
  "crystal_system": "tetragonal",
  "m_tot_mub_per_cell": 0.000,
  "dos_ef_per_ev_fu": 5.9,
  "spacegroup": "No. 123",
  "lattice_angstrom": [[3.4740, 0.0000, 0.0000], [0.0000, 3.4740, 0.0000], [0.0000, 0.0000, 9.7551]],
  "species": ["Ho", "Hf", "Th", "Th"],
  "fractional_positions": [[0.0000, 0.0000, 0.0000], [0.0000, 0.0000, 0.5000], [0.5000, 0.5000, 0.2652], [0.5000, 0.5000, 0.7348]]
}


--- two ---
{
  "formula": "HoHfTh2",
  "functional": "PBE",
  "state": "relaxed",
  "crystal_system": "tetragonal",
  "m_tot_mub_per_cell": 0.000,
  "dos_ef_per_ev_fu": 5.5,
  "spacegroup": "No. 123",
  "lattice_angstrom": [[4.9283, 0.0000, 0.0000], [0.0000, 4.9283, 0.0000], [0.0000, 0.0000, 4.8204]],
  "species": ["Ho", "Hf", "Th", "Th"],
  "fractional_positions": [[0.0000, 0.0000, 0.0000], [0.5000, 0.5000, 0.0000], [0.0000, 0.5000, 0.5000], [0.5000, 0.0000, 0.5000]]
}


Which structure is most stable, and how do the rest compare? From most to least stable: one, two.